A plane-wave DFT calculation with PBE-GGA was carried out for BaCd2Sn after structural relaxation.

Unit cell a=5.057 b=5.057 c=6.541 alpha=67.26 beta=67.26 gamma=60.00
Sites, in units of the cell vectors:
Cd (0.219, 0.219, 0.343)
Cd (0.781, 0.781, 0.657)
Ba (0.000, 0.000, 0.000)
Sn (0.500, 0.500, 0.500)

The value obtained for the density of states at the Fermi level is 0.6900 states/eV per atom. The energy of formation from the pure elements is -28.0 kJ per mole of atoms.



A plane-wave DFT calculation with PBE-GGA was carried out for Pr5Nd12Th2 after structural relaxation.

Unit cell a=11.942 b=10.951 c=6.303 alpha=101.07 beta=90.00 gamma=123.04
Sites, in units of the cell vectors:
Pr (0.214, 0.428, 0.559)
Pr (0.322, 0.645, 0.146)
Pr (0.000, 0.000, 0.500)
Pr (0.678, 0.355, 0.854)
Pr (0.786, 0.572, 0.441)
Nd (0.115, 0.231, 0.999)
Nd (0.057, 0.605, 0.800)
Nd (0.548, 0.605, 0.800)
Nd (0.152, 0.797, 0.390)
Nd (0.645, 0.797, 0.390)
Nd (0.447, 0.894, 0.733)
Nd (0.553, 0.106, 0.267)
Nd (0.848, 0.203, 0.610)
Nd (0.355, 0.203, 0.610)
Nd (0.943, 0.395, 0.200)
Nd (0.452, 0.395, 0.200)
Nd (0.885, 0.769, 0.001)
Th (0.766, 0.000, 0.000)
Th (0.234, 0.000, 0.000)

The value obtained for the density of states at the Fermi level is 1.5373 states/eV per atom. The energy of formation from the pure elements is 11.3 kJ per mole of atoms. The energy above the most stable polymorph in this dataset comes out at 0.00 eV per formula unit.



A plane-wave DFT calculation with PBE-GGA was carried out for Cd2NiB after structural relaxation.

Unit cell a=9.112 b=9.112 c=6.728 alpha=47.38 beta=47.38 gamma=90.00
Sites, in units of the cell vectors:
Ni (0.000, 0.000, 0.000)
Ni (0.750, 0.250, 0.500)
B (0.500, 0.500, 0.000)
B (0.250, 0.750, 0.500)
Cd (0.376, 0.125, 0.250)
Cd (0.374, 0.625, 0.250)
Cd (0.375, 0.624, 0.750)
Cd (0.875, 0.626, 0.750)

The value obtained for the density of states at the Fermi level is 0.7071 states/eV per atom. The energy of formation from the pure elements is 36.3 kJ per mole of atoms. The energy above the most stable polymorph in this dataset comes out at 0.00 eV per formula unit.



A plane-wave DFT calculation with PBE-GGA was carried out for TlB5O8 after structural relaxation.

Unit cell a=8.493 b=12.437 c=14.408 alpha=90.00 beta=90.00 gamma=90.00
Sites, in units of the cell vectors:
Tl (0.614, 0.320, 0.884)
Tl (0.614, 0.180, 0.384)
Tl (0.386, 0.680, 0.116)
Tl (0.114, 0.180, 0.116)
Tl (0.114, 0.320, 0.616)
Tl (0.386, 0.820, 0.616)
Tl (0.886, 0.680, 0.384)
Tl (0.886, 0.820, 0.884)
B (0.477, 0.718, 0.374)
B (0.689, 0.419, 0.547)
B (0.507, 0.979, 0.846)
B (0.493, 0.479, 0.654)
B (0.958, 0.886, 0.220)
B (0.993, 0.021, 0.346)
B (0.614, 0.889, 0.419)
B (0.958, 0.614, 0.720)
B (0.477, 0.782, 0.874)
B (0.189, 0.081, 0.453)
B (0.886, 0.389, 0.419)
B (0.542, 0.114, 0.720)
B (0.042, 0.114, 0.780)
B (0.007, 0.521, 0.154)
B (0.523, 0.218, 0.126)
B (0.811, 0.919, 0.547)
B (0.023, 0.218, 0.374)
B (0.689, 0.081, 0.047)
B (0.886, 0.111, 0.919)
B (0.811, 0.581, 0.047)
B (0.386, 0.389, 0.081)
B (0.977, 0.718, 0.126)
B (0.007, 0.979, 0.654)
B (0.023, 0.282, 0.874)
B (0.386, 0.111, 0.581)
B (0.458, 0.886, 0.280)
B (0.493, 0.021, 0.154)
B (0.311, 0.919, 0.953)
B (0.114, 0.889, 0.081)
B (0.189, 0.419, 0.953)
B (0.114, 0.611, 0.581)
B (0.507, 0.521, 0.346)
B (0.042, 0.386, 0.280)
B (0.311, 0.581, 0.453)
B (0.614, 0.611, 0.919)
B (0.458, 0.614, 0.780)
B (0.523, 0.282, 0.626)
B (0.977, 0.782, 0.626)
B (0.993, 0.479, 0.846)
B (0.542, 0.386, 0.220)
O (0.350, 0.815, 0.937)
O (0.907, 0.219, 0.929)
O (0.914, 0.717, 0.704)
O (0.618, 0.502, 0.596)
O (0.420, 0.565, 0.698)
O (0.440, 0.377, 0.666)
O (0.297, 0.450, 0.020)
O (0.703, 0.950, 0.480)
O (0.086, 0.283, 0.296)
O (0.150, 0.315, 0.937)
O (0.414, 0.783, 0.296)
O (0.045, 0.555, 0.654)
O (0.850, 0.815, 0.563)
O (0.882, 0.498, 0.096)
O (0.150, 0.185, 0.437)
O (0.297, 0.050, 0.520)
O (0.440, 0.123, 0.166)
O (0.703, 0.550, 0.980)
O (0.586, 0.217, 0.704)
O (0.414, 0.717, 0.796)
O (0.118, 0.998, 0.404)
O (0.080, 0.065, 0.698)
O (0.080, 0.435, 0.198)
O (0.650, 0.315, 0.563)
O (0.580, 0.435, 0.302)
O (0.060, 0.877, 0.666)
O (0.940, 0.377, 0.834)
O (0.940, 0.123, 0.334)
O (0.455, 0.055, 0.654)
O (0.593, 0.719, 0.929)
O (0.618, 0.998, 0.096)
O (0.382, 0.002, 0.904)
O (0.407, 0.281, 0.071)
O (0.955, 0.055, 0.846)
O (0.086, 0.217, 0.796)
O (0.907, 0.281, 0.429)
O (0.203, 0.950, 0.020)
O (0.060, 0.623, 0.166)
O (0.545, 0.945, 0.346)
O (0.455, 0.445, 0.154)
O (0.045, 0.945, 0.154)
O (0.545, 0.555, 0.846)
O (0.797, 0.450, 0.480)
O (0.650, 0.185, 0.063)
O (0.586, 0.283, 0.204)
O (0.203, 0.550, 0.520)
O (0.382, 0.498, 0.404)
O (0.407, 0.219, 0.571)
O (0.593, 0.781, 0.429)
O (0.797, 0.050, 0.980)
O (0.850, 0.685, 0.063)
O (0.093, 0.719, 0.571)
O (0.118, 0.502, 0.904)
O (0.350, 0.685, 0.437)
O (0.920, 0.935, 0.302)
O (0.093, 0.781, 0.071)
O (0.920, 0.565, 0.802)
O (0.580, 0.065, 0.802)
O (0.560, 0.877, 0.834)
O (0.882, 0.002, 0.596)
O (0.560, 0.623, 0.334)
O (0.914, 0.783, 0.204)
O (0.955, 0.445, 0.346)
O (0.420, 0.935, 0.198)

The calculation puts the formation energy without anion corrections at -2286 meV per atom. The value obtained for the density of states at the Fermi level is 0.0000 states/eV per atom.



A plane-wave DFT calculation with PBE-GGA was carried out for CrSICl2 after structural relaxation.

Unit cell a=5.473 b=5.473 c=5.190 alpha=90.00 beta=90.00 gamma=90.00
Each line ends with the local moment (μB).
Sites, in units of the cell vectors:
I (0.000, 0.000, 0.000)  0.00
Cr (0.500, 0.500, 0.500)  4.36
S (0.000, 0.000, 0.500)  -0.07
Cl (0.000, 0.500, 0.000)  0.00
Cl (0.500, 0.000, 0.000)  0.00

The calculation puts the formation energy without anion corrections at 631 meV per atom. The value obtained for the density of states at the Fermi level is 2.1309 states/eV per atom. The energy above the most stable polymorph in this dataset comes out at 3.09 eV per formula unit.



A plane-wave DFT calculation with PBE-GGA was carried out for NdErPb after structural relaxation.

Unit cell a=3.640 b=3.640 c=7.497 alpha=104.05 beta=104.05 gamma=90.00
Sites, in units of the cell vectors:
Pb (0.004, 0.004, 0.007)
Nd (0.340, 0.340, 0.680)
Er (0.656, 0.656, 0.313)

The value obtained for the density of states at the Fermi level is 0.7993 states/eV per atom. The energy of formation from the pure elements is -27.8 kJ per mole of atoms. The energy above the most stable polymorph in this dataset comes out at 0.45 eV per formula unit.



A plane-wave DFT calculation with PBE-GGA was carried out for Ti5InS8 after structural relaxation.

Unit cell a=9.036 b=9.036 c=8.974 alpha=75.50 beta=75.50 gamma=21.71
Sites, in units of the cell vectors:
Ti (0.500, 0.500, 0.500)
Ti (0.208, 0.208, 0.150)
Ti (0.792, 0.792, 0.850)
Ti (0.836, 0.836, 0.494)
Ti (0.164, 0.164, 0.506)
In (0.000, 0.000, 0.000)
S (0.339, 0.339, 0.995)
S (0.661, 0.661, 0.005)
S (0.744, 0.744, 0.328)
S (0.256, 0.256, 0.672)
S (0.412, 0.412, 0.328)
S (0.588, 0.588, 0.672)
S (0.077, 0.077, 0.335)
S (0.923, 0.923, 0.665)

The calculation puts the formation energy without anion corrections at -1302 meV per atom. The value obtained for the density of states at the Fermi level is 0.7470 states/eV per atom.



A plane-wave DFT calculation with PBE-GGA was carried out for ErTa2NbC4 after structural relaxation.

Unit cell a=3.223 b=5.919 c=11.581 alpha=90.00 beta=90.00 gamma=105.80
Sites, in units of the cell vectors:
Er (0.140, 0.279, 0.750)
Er (0.860, 0.721, 0.250)
Ta (0.368, 0.737, 0.527)
Ta (0.632, 0.263, 0.027)
Ta (0.632, 0.263, 0.473)
Ta (0.368, 0.737, 0.973)
Nb (0.868, 0.736, 0.750)
Nb (0.132, 0.264, 0.250)
C (0.253, 0.506, 0.113)
C (0.747, 0.494, 0.613)
C (0.747, 0.494, 0.887)
C (0.253, 0.506, 0.387)
C (0.000, 0.000, 0.500)
C (0.000, 0.000, 0.000)
C (0.479, 0.958, 0.750)
C (0.521, 0.042, 0.250)

The value obtained for the density of states at the Fermi level is 0.3624 states/eV per atom. The energy of formation from the pure elements is -25.4 kJ per mole of atoms.



A plane-wave DFT calculation with PBE-GGA was carried out for MnP2SN after structural relaxation.

Unit cell a=4.356 b=4.356 c=4.105 alpha=90.00 beta=90.00 gamma=90.00
Sites, in units of the cell vectors:
P (0.000, 0.500, 0.000)
P (0.500, 0.000, 0.000)
S (0.000, 0.000, 0.500)
Mn (0.000, 0.000, 0.000)
N (0.500, 0.500, 0.500)

The calculation puts the formation energy without anion corrections at 1387 meV per atom. The value obtained for the density of states at the Fermi level is 0.5819 states/eV per atom. The energy above the most stable polymorph in this dataset comes out at 2.53 eV per formula unit.



A plane-wave DFT calculation with PBE-GGA was carried out for CsZn2CuCl6 after structural relaxation.

Unit cell a=6.295 b=10.337 c=10.337 alpha=99.96 beta=84.18 gamma=84.18
Each line ends with the local moment (μB).
Sites, in units of the cell vectors:
Cs (0.250, 0.879, 0.121)  0.00
Cs (0.750, 0.121, 0.879)  0.00
Zn (0.322, 0.763, 0.629)  0.00
Zn (0.178, 0.371, 0.237)  0.00
Zn (0.678, 0.237, 0.371)  0.00
Zn (0.822, 0.629, 0.763)  0.00
Cu (0.250, 0.334, 0.666)  0.10
Cu (0.750, 0.666, 0.334)  0.10
Cl (0.285, 0.946, 0.783)  0.00
Cl (0.215, 0.217, 0.054)  0.00
Cl (0.715, 0.054, 0.217)  0.00
Cl (0.785, 0.783, 0.946)  0.00
Cl (0.476, 0.803, 0.427)  0.00
Cl (0.024, 0.573, 0.197)  0.00
Cl (0.524, 0.197, 0.573)  0.00
Cl (0.976, 0.427, 0.803)  0.00
Cl (0.992, 0.693, 0.579)  0.00
Cl (0.508, 0.421, 0.307)  0.00
Cl (0.008, 0.307, 0.421)  0.00
Cl (0.492, 0.579, 0.693)  0.00

The calculation puts the formation energy without anion corrections at -1185 meV per atom. The value obtained for the density of states at the Fermi level is 0.0000 states/eV per atom.



A plane-wave DFT calculation with PBE-GGA was carried out for BeZnCdCuIr after structural relaxation.

Unit cell a=2.881 b=2.881 c=17.099 alpha=90.00 beta=90.00 gamma=90.00
Sites, in units of the cell vectors:
Be (0.000, 0.000, 0.850)
Be (0.500, 0.500, 0.350)
Zn (0.000, 0.000, 0.682)
Zn (0.500, 0.500, 0.182)
Ir (0.000, 0.000, 0.282)
Ir (0.500, 0.500, 0.782)
Cu (0.000, 0.000, 0.435)
Cu (0.500, 0.500, 0.935)
Cd (0.000, 0.000, 0.050)
Cd (0.500, 0.500, 0.550)

The value obtained for the density of states at the Fermi level is 0.3733 states/eV per atom. The energy of formation from the pure elements is -14.9 kJ per mole of atoms. The energy above the most stable polymorph in this dataset comes out at 0.00 eV per formula unit.



A plane-wave DFT calculation with PBE-GGA was carried out for BaH2Os after structural relaxation.

Unit cell a=4.836 b=4.836 c=6.252 alpha=67.25 beta=67.25 gamma=90.00
Sites, in units of the cell vectors:
H (0.818, 0.125, 0.250)
H (0.932, 0.625, 0.250)
H (0.375, 0.182, 0.750)
H (0.875, 0.068, 0.750)
Os (0.000, 0.000, 0.000)
Os (0.750, 0.250, 0.500)
Ba (0.500, 0.500, 0.000)
Ba (0.250, 0.750, 0.500)

The value obtained for the density of states at the Fermi level is 0.3402 states/eV per atom. The energy above the most stable polymorph in this dataset comes out at 0.00 eV per formula unit.



A plane-wave DFT calculation with PBE-GGA was carried out for La2MgSi3Ni12 after structural relaxation.

Unit cell a=6.330 b=6.330 c=6.330 alpha=84.42 beta=84.42 gamma=84.42
Sites, in units of the cell vectors:
La (0.638, 0.638, 0.638)
La (0.362, 0.362, 0.362)
Mg (0.000, 0.000, 0.000)
Si (0.500, 0.000, 0.000)
Si (0.000, 0.500, 0.000)
Si (0.000, 0.000, 0.500)
Ni (0.378, 0.378, 0.915)
Ni (0.812, 0.812, 0.304)
Ni (0.304, 0.812, 0.812)
Ni (0.915, 0.378, 0.378)
Ni (0.812, 0.304, 0.812)
Ni (0.378, 0.915, 0.378)
Ni (0.622, 0.622, 0.085)
Ni (0.188, 0.188, 0.696)
Ni (0.696, 0.188, 0.188)
Ni (0.085, 0.622, 0.622)
Ni (0.188, 0.696, 0.188)
Ni (0.622, 0.085, 0.622)

The calculation puts the formation energy without anion corrections at -145 meV per atom. The value obtained for the density of states at the Fermi level is 0.6873 states/eV per atom.



A plane-wave DFT calculation with PBE-GGA was carried out for Ce2FeC4 after structural relaxation.

Unit cell a=5.135 b=6.772 c=6.772 alpha=65.87 beta=67.72 gamma=67.72
Each line ends with the local moment (μB).
Sites, in units of the cell vectors:
C (0.125, 0.216, 0.534)  -0.01
C (0.875, 0.784, 0.466)  -0.01
C (0.625, 0.534, 0.216)  -0.01
C (0.375, 0.466, 0.784)  -0.01
C (0.081, 0.082, 0.756)  0.00
C (0.919, 0.918, 0.244)  0.00
C (0.581, 0.756, 0.082)  0.00
C (0.419, 0.244, 0.918)  0.00
Fe (0.250, 0.000, 0.000)  0.15
Fe (0.750, 0.000, 0.000)  0.15
Ce (0.357, 0.815, 0.471)  0.27
Ce (0.643, 0.185, 0.529)  0.27
Ce (0.857, 0.471, 0.815)  0.27
Ce (0.143, 0.529, 0.185)  0.27

The value obtained for the density of states at the Fermi level is 1.1304 states/eV per atom. The energy of formation from the pure elements is -20.2 kJ per mole of atoms.



A plane-wave DFT calculation with PBE-GGA was carried out for Dy3Tl2Co after structural relaxation.

Unit cell a=5.165 b=7.237 c=9.406 alpha=112.61 beta=105.94 gamma=89.95
Sites, in units of the cell vectors:
Dy (0.499, 0.250, 0.000)
Dy (0.501, 0.750, 0.000)
Dy (0.124, 0.124, 0.248)
Dy (0.876, 0.376, 0.752)
Dy (0.124, 0.624, 0.248)
Dy (0.876, 0.876, 0.752)
Tl (0.694, 0.445, 0.388)
Tl (0.694, 0.945, 0.388)
Tl (0.306, 0.055, 0.612)
Tl (0.306, 0.555, 0.612)
Co (0.001, 0.750, 0.000)
Co (0.999, 0.250, 0.000)

The value obtained for the density of states at the Fermi level is 0.7435 states/eV per atom. The energy of formation from the pure elements is -22.6 kJ per mole of atoms.



A plane-wave DFT calculation with PBE-GGA was carried out for AcTiBi3 after structural relaxation.

Unit cell a=5.484 b=5.484 c=5.484 alpha=90.00 beta=90.00 gamma=90.00
Sites, in units of the cell vectors:
Ac (0.500, 0.500, 0.500)
Bi (0.000, 0.500, 0.000)
Bi (0.000, 0.000, 0.500)
Bi (0.500, 0.000, 0.000)
Ti (0.000, 0.000, 0.000)

The value obtained for the density of states at the Fermi level is 0.5656 states/eV per atom. The energy of formation from the pure elements is -22.9 kJ per mole of atoms. The energy above the most stable polymorph in this dataset comes out at 1.30 eV per formula unit.



A plane-wave DFT calculation with PBE-GGA was carried out for Be2Pb after structural relaxation.

Unit cell a=4.244 b=3.661 c=7.139 alpha=90.00 beta=93.45 gamma=90.00
Sites, in units of the cell vectors:
Pb (0.707, 0.250, 0.805)
Pb (0.293, 0.750, 0.195)
Be (0.126, 0.250, 0.503)
Be (0.874, 0.750, 0.497)
Be (0.615, 0.250, 0.441)
Be (0.385, 0.750, 0.559)

The value obtained for the density of states at the Fermi level is 0.2942 states/eV per atom. The energy of formation from the pure elements is 28.0 kJ per mole of atoms. The energy above the most stable polymorph in this dataset comes out at 0.27 eV per formula unit.